i) Compound: SnPd5Au
Source: the Alexandria database
Functional: PBE-GGA
Structure: relaxed

Cell lengths 5.3072, 5.3072, 10.2754 Å; angles 95.13, 95.13, 58.18 degrees
Closest atoms and distances in Å follow each position.
Positions (direct):
Sn: 0.2102 0.7898 0.7500  8 Pd 2.56-2.83
Sn: 0.7898 0.2102 0.2500  8 Pd 2.56-2.83
Pd: 0.1316 0.1664 0.5523  5 Pd 2.72-2.92, 1 Sn 2.83, 2 Au 2.87-3.03
Pd: 0.1664 0.1316 0.0523  5 Pd 2.72-2.92, 1 Sn 2.83, 2 Au 2.87-3.03
Pd: 0.2263 0.2918 0.8187  7 Pd 2.72-2.94, 2 Sn 2.74-2.75, 1 Au 2.76
Pd: 0.2862 0.7138 0.2500  2 Sn 2.56-2.60, 4 Pd 2.73-2.76, 2 Au 2.80
Pd: 0.2918 0.2263 0.3187  7 Pd 2.72-2.94, 2 Sn 2.74-2.75, 1 Au 2.76
Pd: 0.7082 0.7737 0.6813  7 Pd 2.72-2.94, 2 Sn 2.74-2.75, 1 Au 2.76
Pd: 0.7138 0.2862 0.7500  2 Sn 2.56-2.60, 4 Pd 2.73-2.76, 2 Au 2.80
Pd: 0.7737 0.7082 0.1813  7 Pd 2.72-2.94, 2 Sn 2.74-2.75, 1 Au 2.76
Pd: 0.8336 0.8684 0.9477  5 Pd 2.72-2.92, 1 Sn 2.83, 2 Au 2.87-3.03
Pd: 0.8684 0.8336 0.4477  5 Pd 2.72-2.92, 1 Sn 2.83, 2 Au 2.87-3.03
Au: 0.5000 0.5000 0.0000  8 Pd 2.76-3.03, 2 Sn 2.97
Au: 0.5000 0.5000 0.5000  8 Pd 2.76-3.03, 2 Sn 2.97

Properties
Total moment ... 0.000 μB/atom
N(E_F) ... 10.23 states/eV per cell
SG ... No. 15

ii) Compound: SnPd5Au
Source: the Alexandria database
Functional: PBE-GGA
Structure: relaxed

Cell lengths 3.9809, 3.9809, 7.7466 Å; angles 90.00, 90.00, 90.00 degrees
Closest atoms and distances in Å follow each position.
Positions (direct):
Sn: 0.0000 0.0000 0.0000  8 Pd 2.69
Pd: 0.0000 0.0000 0.5000  4 Au 2.81, 8 Pd 2.87
Pd: 0.0000 0.5000 0.2336  2 Sn 2.69, 6 Pd 2.81-2.87, 2 Au 2.87
Pd: 0.0000 0.5000 0.7664  2 Sn 2.69, 6 Pd 2.81-2.87, 2 Au 2.87
Pd: 0.5000 0.0000 0.2336  2 Sn 2.69, 6 Pd 2.81-2.87, 2 Au 2.87
Pd: 0.5000 0.0000 0.7664  2 Sn 2.69, 6 Pd 2.81-2.87, 2 Au 2.87
Au: 0.5000 0.5000 0.5000  12 Pd 2.81-2.87

Properties
Total moment ... 0.000 μB/atom
N(E_F) ... 4.85 states/eV per cell
SG ... No. 123

On energetic grounds, ii) is preferred over the next structure by 0.108 eV/atom.

i) Compound: Sr2PdAu2
Source: the Alexandria database
Functional: PBE-GGA
Structure: relaxed

Cell lengths 5.8546, 5.8546, 5.8546 Å; angles 118.30, 118.30, 92.98 degrees
Closest atoms and distances in Å follow each position.
Positions (direct):
Sr: 0.2500 0.7500 0.5000  4 Au 3.08
Sr: 0.7500 0.2500 0.5000  4 Au 3.08
Pd: 0.0000 0.0000 0.0000  2 Au 2.70
Au: 0.3351 0.3351 0.0000  1 Au 2.66, 1 Pd 2.70
Au: 0.6649 0.6649 0.0000  1 Au 2.66, 1 Pd 2.70

Properties
Total moment ... 0.000 μB/atom
N(E_F) ... 2.44 states/eV per cell
SG ... No. 139

ii) Compound: Sr2PdAu2
Source: the Alexandria database
Functional: PBE-GGA
Structure: relaxed

Cell lengths 6.1670, 6.1670, 12.0189 Å; angles 115.85, 115.85, 42.55 degrees
Closest atoms and distances in Å follow each position.
Positions (direct):
Sr: 0.0476 0.0476 0.3594  4 Pd 3.22-3.58, 7 Au 3.27-3.52
Sr: 0.1955 0.1955 0.1133  2 Pd 3.19, 6 Au 3.23-3.37
Sr: 0.8045 0.8045 0.8867  2 Pd 3.19, 6 Au 3.23-3.37
Sr: 0.9524 0.9524 0.6406  4 Pd 3.22-3.58, 7 Au 3.27-3.52
Pd: 0.2784 0.2784 0.6874  3 Au 2.72-2.74
Pd: 0.7216 0.7216 0.3126  3 Au 2.72-2.74
Au: 0.3667 0.3667 0.4172  2 Pd 2.72, 1 Au 2.76
Au: 0.4748 0.4748 0.1098  1 Pd 2.74, 1 Au 2.95
Au: 0.5252 0.5252 0.8902  1 Pd 2.74, 1 Au 2.95
Au: 0.6333 0.6333 0.5828  2 Pd 2.72, 1 Au 2.76

Properties
Total moment ... 0.000 μB/atom
N(E_F) ... 4.55 states/eV per cell
SG ... No. 12

On energetic grounds, ii) is preferred over the next structure by 0.175 eV/atom.